# 1
The following is a DFT calculation (GGA-PBE) of a relaxed Pu2PaAu2 crystal.

Results
- E_form (eV per atom) = -0.18

a b c (Å): 4.9524 7.2978 7.3668
angles (deg): 113.40 98.88 103.70
Fractional positions:
Pu 0.0819 0.0924 0.3774
Pu 0.3660 0.8747 0.2078
Pu 0.6340 0.1253 0.7922
Pu 0.9181 0.9076 0.6226
Pa 0.1130 0.2850 0.1313
Pa 0.8870 0.7150 0.8687
Au 0.2576 0.4133 0.8201
Au 0.3072 0.6334 0.5699
Au 0.6928 0.3666 0.4301
Au 0.7424 0.5867 0.1799

# 2
The following is a DFT calculation (GGA-PBE) of a relaxed Al3RhF crystal.

Results
- formation energy (no corrections) (eV/atom) = -0.340

a b c (Å): 4.1386 4.1386 4.1386
angles (deg): 90.00 90.00 90.00
Fractional positions:
Al 0.0000 0.0000 0.5000
Al 0.0000 0.5000 0.0000
Al 0.5000 0.0000 0.0000
Rh 0.5000 0.5000 0.5000
F 0.0000 0.0000 0.0000

# 3
The following is a DFT calculation (GGA-PBE) of a relaxed RbBeCdSe2 crystal.

Results
- formation energy (no corrections) (eV/atom) = 1.204

a b c (Å): 6.5400 6.5400 6.5513
angles (deg): 90.00 90.00 90.00
Fractional positions:
Rb 0.0000 0.0000 0.0000
Be 0.0000 0.0000 0.5000
Cd 0.5000 0.5000 0.5000
Se 0.0000 0.5000 0.0000
Se 0.5000 0.0000 0.0000

# 4
The following is a DFT calculation (GGA-PBE) of a relaxed ScTlAgI5 crystal.

Results
- formation energy (no corrections) (eV/atom) = -0.807

a b c (Å): 8.2578 8.2578 10.9788
angles (deg): 102.00 102.00 108.94
Fractional positions:
Sc 0.0000 0.0000 0.0000
Sc 0.0000 0.0000 0.5000
Tl 0.3652 0.6348 0.7500
Tl 0.6348 0.3652 0.2500
Ag 0.3128 0.6872 0.2500
Ag 0.6872 0.3128 0.7500
I 0.0721 0.6889 0.3977
I 0.0794 0.9206 0.7500
I 0.2405 0.3696 0.0476
I 0.3111 0.9279 0.1023
I 0.3696 0.2405 0.5476
I 0.6304 0.7595 0.4524
I 0.6889 0.0721 0.8977
I 0.7595 0.6304 0.9524
I 0.9206 0.0794 0.2500
I 0.9279 0.3111 0.6023

# 5
The following is a DFT calculation (GGA-PBE) of a relaxed Rb2AgI crystal.

Results
- formation energy (no corrections) (eV/atom) = -0.656

a b c (Å): 9.4917 9.4917 9.4917
angles (deg): 31.30 31.30 31.30
Fractional positions:
Rb 0.0000 0.0000 0.0000
Rb 0.1691 0.1691 0.1691
Ag 0.5842 0.5842 0.5842
I 0.7515 0.7515 0.7515

# 6
The following is a DFT calculation (GGA-PBE) of a relaxed PuMg2Sn crystal.

Results
- E_form (eV per atom) = 0.01

a b c (Å): 3.1163 3.1163 10.2421
angles (deg): 90.00 90.00 90.00
Fractional positions:
Pu 0.0000 0.0000 0.0000
Mg 0.5000 0.5000 0.2546
Mg 0.5000 0.5000 0.7454
Sn 0.0000 0.0000 0.5000

# 7
The following is a DFT calculation (GGA-PBE) of a relaxed HfBeTc2 crystal.

Results
- E_form (eV per atom) = 0.36

a b c (Å): 9.2242 9.2242 9.2242
angles (deg): 155.75 155.75 34.56
Fractional positions:
Hf 0.0000 0.0000 0.0000
Hf 0.7500 0.2500 0.5000
Be 0.2500 0.7500 0.5000
Be 0.5000 0.5000 0.0000
Tc 0.1957 0.6250 0.0707
Tc 0.3750 0.4457 0.5707
Tc 0.5543 0.1250 0.9293
Tc 0.8750 0.8043 0.4293

# 8
The following is a DFT calculation (GGA-PBE) of a relaxed AgPb2O3 crystal.

Results
- formation energy (no corrections) (eV/atom) = -0.661

a b c (Å): 6.3595 6.3595 6.3595
angles (deg): 135.56 56.92 146.29
Fractional positions:
Ag 0.0000 0.0000 0.0000
Pb 0.3405 0.0006 0.3400
Pb 0.6606 0.0006 0.6600
O 0.0016 0.5016 0.5000
O 0.3157 0.5019 0.8138
O 0.6880 0.5019 0.1862

# 9
The following is a DFT calculation (GGA-PBE) of a relaxed HoCo2B crystal.

Results
- E_form (eV per atom) = -0.22

a b c (Å): 5.2554 5.2554 5.2554
angles (deg): 40.37 40.37 40.37
Fractional positions:
Ho 0.0000 0.0000 0.0000
Co 0.1973 0.1973 0.1973
Co 0.8027 0.8027 0.8027
B 0.5000 0.5000 0.5000

# 10
The following is a DFT calculation (GGA-PBE) of a relaxed LiTb2Mg crystal.

Results
- E_form (eV per atom) = 0.04

a b c (Å): 5.3285 5.3285 5.3285
angles (deg): 60.00 60.00 60.00
Fractional positions:
Li 0.0000 0.0000 0.0000
Tb 0.2500 0.2500 0.2500
Tb 0.7500 0.7500 0.7500
Mg 0.5000 0.5000 0.5000

# 11
The following is a DFT calculation (GGA-PBE) of a relaxed TaZnCr2 crystal.

Results
- E_form (eV per atom) = 0.20

a b c (Å): 3.1665 3.1665 5.5540
angles (deg): 90.00 90.00 90.00
Fractional positions:
Ta 0.0000 0.0000 0.0000
Zn 0.0000 0.0000 0.5000
Cr 0.5000 0.5000 0.2800
Cr 0.5000 0.5000 0.7200

# 12
The following is a DFT calculation (GGA-PBE) of a relaxed Ba2Mg4Zn3Cd crystal.

Results
- E_form (eV per atom) = -0.13

a b c (Å): 4.6609 4.6609 12.6467
angles (deg): 90.00 90.00 90.00
Fractional positions:
Ba 0.0000 0.5000 0.2477
Ba 0.5000 0.0000 0.7523
Mg 0.0000 0.0000 0.0000
Mg 0.0000 0.5000 0.6345
Mg 0.5000 0.0000 0.3655
Mg 0.5000 0.5000 0.0000
Zn 0.0000 0.5000 0.8636
Zn 0.5000 0.0000 0.1364
Zn 0.5000 0.5000 0.5000
Cd 0.0000 0.0000 0.5000

Number 1: D(E_F) 1.87 states/eV per atom. Number 2: D(E_F) 0.87 states/eV per atom. Number 3: D(E_F) 1.32 states/eV per atom. Number 4: D(E_F) 0.00 states/eV per atom. Number 5: D(E_F) 0.00 states/eV per atom. Number 6: D(E_F) 1.66 states/eV per atom. Number 7: D(E_F) 1.09 states/eV per atom. Number 8: D(E_F) 0.31 states/eV per atom. Number 9: D(E_F) 1.20 states/eV per atom. Number 10: D(E_F) 1.40 states/eV per atom. Number 11: D(E_F) 0.89 states/eV per atom. Number 12: D(E_F) 0.68 states/eV per atom.